[1]
Pr3Ag2Au2: relaxed, PBE.

Summary:
Total magnetic moment: 0.00 μB per formula unit
DFT total energy: -4.21 eV/atom
Crystal system: triclinic
Space-group type: No. 2

a b c (Å): 5.1946 5.2314 8.4659
angles (deg): 99.84 90.07 119.19
Last column: nearest neighbours and their distance in Å.
Fractional positions:
Pr  0.0000  0.0000  0.0000  2 Au 3.00, 6 Ag 3.13-3.14
Pr  0.2807  0.5665  0.6964  4 Au 3.03-3.13, 1 Ag 3.36
Pr  0.7193  0.4335  0.3036  4 Au 3.03-3.13, 1 Ag 3.36
Ag  0.3500  0.6964  0.1008  7 Pr 3.13-3.47, 2 Ag 3.39-3.44
Ag  0.6500  0.3036  0.8992  7 Pr 3.13-3.47, 2 Ag 3.39-3.44
Au  0.0703  0.1295  0.3609  1 Au 2.84, 5 Pr 3.00-3.13
Au  0.9297  0.8705  0.6391  1 Au 2.84, 5 Pr 3.00-3.13

---

[2]
AcAg3Te3: relaxed, PBE.

Summary:
Total magnetic moment: 0.00 μB per formula unit
Formation energy from raw total energies: -625 meV/atom
Crystal system: trigonal
Space-group type: No. 148

a b c (Å): 8.9236 8.9236 8.9236
angles (deg): 54.07 54.07 54.07
Last column: nearest neighbours and their distance in Å.
Fractional positions:
Ac  0.1662  0.1662  0.1662  6 Te 3.32-3.33
Ac  0.8338  0.8338  0.8338  6 Te 3.32-3.33
Ag  0.0193  0.3698  0.7368  4 Te 2.82-2.95
Ag  0.2632  0.9807  0.6302  4 Te 2.82-2.95
Ag  0.3698  0.7368  0.0193  4 Te 2.82-2.95
Ag  0.6302  0.2632  0.9807  4 Te 2.82-2.95
Ag  0.7368  0.0193  0.3698  4 Te 2.82-2.95
Ag  0.9807  0.6302  0.2632  4 Te 2.82-2.95
Te  0.1011  0.7350  0.4215  4 Ag 2.82-2.95
Te  0.2650  0.5785  0.8989  4 Ag 2.82-2.95
Te  0.4215  0.1011  0.7350  4 Ag 2.82-2.95
Te  0.5785  0.8989  0.2650  4 Ag 2.82-2.95
Te  0.7350  0.4215  0.1011  4 Ag 2.82-2.95
Te  0.8989  0.2650  0.5785  4 Ag 2.82-2.95

---

[3]
Hf2MgSnPt: relaxed, PBE.

Summary:
Total magnetic moment: 0.00 μB per formula unit
DFT total energy: -5.17 eV/atom
Crystal system: tetragonal
Space-group type: No. 123

a b c (Å): 4.9732 4.9732 4.7947
angles (deg): 90.00 90.00 90.00
Last column: nearest neighbours and their distance in Å.
Fractional positions:
Hf  0.0000  0.5000  0.0000  2 Mg 2.49
Hf  0.5000  0.0000  0.0000  2 Mg 2.49
Mg  0.0000  0.0000  0.0000  2 Sn 2.40, 4 Hf 2.49
Sn  0.0000  0.0000  0.5000  2 Mg 2.40
Pt  0.5000  0.5000  0.5000  8 Hf 3.45, 4 Sn 3.52

---

[4]
Ho6Er3Zr: relaxed, PBE.

Summary:
Total magnetic moment: 0.00 μB per formula unit
Energy above the most stable polymorph in this dataset: 0 meV/atom
Crystal system: orthorhombic
Space-group type: No. 36

a b c (Å): 10.7899 10.7899 6.0664
angles (deg): 90.00 90.00 119.71
Last column: nearest neighbours and their distance in Å.
Fractional positions:
Ho  0.0456  0.4611  0.0466  5 Ho 3.17-3.42, 2 Zr 3.22-3.38, 2 Er 3.30-3.49
Ho  0.0512  0.9488  0.5000  1 Zr 3.25, 4 Er 3.56-3.62, 2 Ho 3.59
Ho  0.2736  0.7264  0.7713  4 Ho 3.17-3.30, 2 Zr 3.26-3.27, 1 Er 3.28
Ho  0.2945  0.3808  0.8867  4 Er 3.34-3.59, 5 Ho 3.35-3.73
Ho  0.3808  0.2945  0.3867  4 Er 3.34-3.59, 5 Ho 3.35-3.73
Ho  0.4611  0.0456  0.5466  5 Ho 3.17-3.42, 2 Zr 3.22-3.38, 2 Er 3.30-3.49
Ho  0.5389  0.9544  0.0466  5 Ho 3.17-3.42, 2 Zr 3.22-3.38, 2 Er 3.30-3.49
Ho  0.6192  0.7055  0.8867  4 Er 3.34-3.59, 5 Ho 3.35-3.73
Ho  0.7055  0.6192  0.3867  4 Er 3.34-3.59, 5 Ho 3.35-3.73
Ho  0.7264  0.2736  0.2713  4 Ho 3.17-3.30, 2 Zr 3.26-3.27, 1 Er 3.28
Ho  0.9488  0.0512  0.0000  1 Zr 3.25, 4 Er 3.56-3.62, 2 Ho 3.59
Ho  0.9544  0.5389  0.5466  5 Ho 3.17-3.42, 2 Zr 3.22-3.38, 2 Er 3.30-3.49
Er  0.0561  0.2808  0.4787  1 Zr 3.11, 3 Ho 3.30-3.48
Er  0.2808  0.0561  0.9787  1 Zr 3.11, 3 Ho 3.30-3.48
Er  0.3855  0.6145  0.3545  5 Ho 3.28-3.59, 1 Zr 3.34, 2 Er 3.67
Er  0.6145  0.3855  0.8545  5 Ho 3.28-3.59, 1 Zr 3.34, 2 Er 3.67
Er  0.7192  0.9439  0.4787  1 Zr 3.11, 3 Ho 3.30-3.48
Er  0.9439  0.7192  0.9787  1 Zr 3.11, 3 Ho 3.30-3.48
Zr  0.2086  0.7914  0.2699  3 Er 3.11-3.34, 7 Ho 3.22-3.38
Zr  0.7914  0.2086  0.7699  3 Er 3.11-3.34, 7 Ho 3.22-3.38

---

[5]
Mg4IrRh3: relaxed, PBE.

Summary:
Total magnetic moment: 0.00 μB per formula unit
DFT total energy: -5.08 eV/atom
Crystal system: trigonal
Space-group type: No. 166

a b c (Å): 7.6412 7.6412 7.6412
angles (deg): 33.57 33.57 33.57
Last column: nearest neighbours and their distance in Å.
Fractional positions:
Mg  0.1248  0.1248  0.1248  5 Rh 2.70, 3 Ir 2.70
Mg  0.3748  0.3748  0.3748  7 Rh 2.70-2.71, 1 Ir 2.71
Mg  0.6252  0.6252  0.6252  7 Rh 2.70-2.71, 1 Ir 2.71
Mg  0.8752  0.8752  0.8752  5 Rh 2.70, 3 Ir 2.70
Ir  0.5000  0.5000  0.5000  8 Mg 2.70-2.71
Rh  0.0000  0.0000  0.0000  8 Mg 2.70
Rh  0.2497  0.2497  0.2497  8 Mg 2.70-2.71
Rh  0.7503  0.7503  0.7503  8 Mg 2.70-2.71

---

[6]
K5Rb2AgHg2: relaxed, PBE.

Summary:
Total magnetic moment: 0.00 μB per formula unit
DFT total energy: -1.15 eV/atom
Crystal system: tetragonal
Space-group type: No. 127

a b c (Å): 14.7915 14.7915 4.6211
angles (deg): 90.00 90.00 90.00
Last column: nearest neighbours and their distance in Å.
Fractional positions:
K  0.0000  0.5000  0.0000  4 Hg 3.62
K  0.0587  0.1884  0.0000  2 Hg 3.68, 2 Ag 3.72
K  0.1884  0.9413  0.0000  2 Hg 3.68, 2 Ag 3.72
K  0.3116  0.4413  0.0000  2 Hg 3.68, 2 Ag 3.72
K  0.4413  0.6884  0.0000  2 Hg 3.68, 2 Ag 3.72
K  0.5000  0.0000  0.0000  4 Hg 3.62
K  0.5587  0.3116  0.0000  2 Hg 3.68, 2 Ag 3.72
K  0.6884  0.5587  0.0000  2 Hg 3.68, 2 Ag 3.72
K  0.8116  0.0587  0.0000  2 Hg 3.68, 2 Ag 3.72
K  0.9413  0.8116  0.0000  2 Hg 3.68, 2 Ag 3.72
Rb  0.1773  0.6773  0.5000  1 Hg 3.96, 2 K 4.37
Rb  0.3227  0.1773  0.5000  1 Hg 3.96, 2 K 4.37
Rb  0.6773  0.8227  0.5000  1 Hg 3.96, 2 K 4.37
Rb  0.8227  0.3227  0.5000  1 Hg 3.96, 2 K 4.37
Ag  0.0000  0.0000  0.5000  8 K 3.72
Ag  0.5000  0.5000  0.5000  8 K 3.72
Hg  0.1332  0.3668  0.5000  6 K 3.62-3.68, 1 Rb 3.96
Hg  0.3668  0.8668  0.5000  6 K 3.62-3.68, 1 Rb 3.96
Hg  0.6332  0.1332  0.5000  6 K 3.62-3.68, 1 Rb 3.96
Hg  0.8668  0.6332  0.5000  6 K 3.62-3.68, 1 Rb 3.96

---

[7]
Pm4IrPdCl2: relaxed, PBE.

Summary:
Total magnetic moment: 0.00 μB per formula unit
Formation energy from raw total energies: -1164 meV/atom
Crystal system: monoclinic
Space-group type: No. 10

a b c (Å): 7.1623 4.1296 7.8546
angles (deg): 90.00 107.95 90.00
Last column: nearest neighbours and their distance in Å.
Fractional positions:
Pm  0.2291  0.0000  0.2058  2 Ir 2.82, 1 Pd 2.88
Pm  0.2538  0.5000  0.7930  1 Ir 2.79, 2 Pd 2.87
Pm  0.7462  0.5000  0.2070  1 Ir 2.79, 2 Pd 2.87
Pm  0.7709  0.0000  0.7942  2 Ir 2.82, 1 Pd 2.88
Ir  0.0000  0.5000  0.0000  6 Pm 2.79-2.82
Pd  0.5000  0.0000  0.0000  6 Pm 2.87-2.88
Cl  0.0000  0.0000  0.5000  6 Pm 3.21-3.22
Cl  0.5000  0.5000  0.5000  6 Pm 3.26-3.30

---

[8]
MgSb2TeS: relaxed, PBE.

Summary:
Total magnetic moment: 0.00 μB per formula unit
Formation energy from raw total energies: 381 meV/atom
Energy above the most stable polymorph in this dataset: 0 meV/atom
Crystal system: tetragonal
Space-group type: No. 123

a b c (Å): 5.2250 5.2250 5.3045
angles (deg): 90.00 90.00 90.00
Last column: nearest neighbours and their distance in Å.
Fractional positions:
Mg  0.0000  0.0000  0.0000  4 Te 3.69, 8 Sb 3.72
Sb  0.0000  0.5000  0.5000  2 S 2.61
Sb  0.5000  0.0000  0.5000  2 S 2.61
Te  0.5000  0.5000  0.0000  2 S 2.65
S  0.5000  0.5000  0.5000  4 Sb 2.61, 2 Te 2.65

---

[9]
Ac4LaPr: relaxed, PBE.

Summary:
Total magnetic moment: 0.00 μB per formula unit
Energy above the most stable polymorph in this dataset: 0 meV/atom
Crystal system: monoclinic
Space-group type: No. 12

a b c (Å): 9.9089 9.9089 8.7160
angles (deg): 115.86 115.86 45.69
Last column: nearest neighbours and their distance in Å.
Fractional positions:
Ac  0.1053  0.6202  0.2120  2 Pr 3.65-3.77, 2 La 3.67-3.87, 4 Ac 3.73-4.03
Ac  0.1887  0.1887  0.3286  3 Pr 3.68-4.02, 2 Ac 3.77, 1 La 3.91
Ac  0.2416  0.7584  0.0000  2 La 3.60, 2 Pr 3.61, 6 Ac 3.72-3.98
Ac  0.3798  0.8947  0.7880  2 Pr 3.65-3.77, 2 La 3.67-3.87, 4 Ac 3.73-4.03
Ac  0.6202  0.1053  0.2120  2 Pr 3.65-3.77, 2 La 3.67-3.87, 4 Ac 3.73-4.03
Ac  0.7584  0.2416  0.0000  2 La 3.60, 2 Pr 3.61, 6 Ac 3.72-3.98
Ac  0.8113  0.8113  0.6714  3 Pr 3.68-4.02, 2 Ac 3.77, 1 La 3.91
Ac  0.8947  0.3798  0.7880  2 Pr 3.65-3.77, 2 La 3.67-3.87, 4 Ac 3.73-4.03
La  0.4309  0.4309  0.6115  1 Pr 3.32, 4 Ac 3.60-3.67
La  0.5691  0.5691  0.3885  1 Pr 3.32, 4 Ac 3.60-3.67
Pr  0.3127  0.3127  0.8065  1 La 3.32, 5 Ac 3.61-3.68
Pr  0.6873  0.6873  0.1935  1 La 3.32, 5 Ac 3.61-3.68

---

[10]
Li5CuBi2: relaxed, PBE.

Summary:
Total magnetic moment: 0.00 μB per formula unit
DFT total energy: -2.99 eV/atom
Crystal system: hexagonal
Space-group type: No. 194

a b c (Å): 4.8342 4.8342 17.5807
angles (deg): 90.00 90.00 120.00
Last column: nearest neighbours and their distance in Å.
Fractional positions:
Li  0.0000  0.0000  0.1469  3 Bi 2.88, 3 Li 3.20
Li  0.0000  0.0000  0.3531  3 Bi 2.88, 3 Li 3.20
Li  0.0000  0.0000  0.6469  3 Bi 2.88, 3 Li 3.20
Li  0.0000  0.0000  0.8531  3 Bi 2.88, 3 Li 3.20
Li  0.3333  0.6667  0.0582  4 Bi 2.90-2.92, 3 Li 3.20
Li  0.3333  0.6667  0.2500  3 Cu 2.79
Li  0.3333  0.6667  0.4418  4 Bi 2.90-2.92, 3 Li 3.20
Li  0.6667  0.3333  0.5582  4 Bi 2.90-2.92, 3 Li 3.20
Li  0.6667  0.3333  0.7500  3 Cu 2.79
Li  0.6667  0.3333  0.9418  4 Bi 2.90-2.92, 3 Li 3.20
Cu  0.3333  0.6667  0.7500  2 Bi 2.52, 3 Li 2.79
Cu  0.6667  0.3333  0.2500  2 Bi 2.52, 3 Li 2.79
Bi  0.3333  0.6667  0.6069  1 Cu 2.52
Bi  0.3333  0.6667  0.8931  1 Cu 2.52
Bi  0.6667  0.3333  0.1069  1 Cu 2.52
Bi  0.6667  0.3333  0.3931  1 Cu 2.52

---

- What is the total magnetic moment in the third record?
  0.00 μB per formula unit

---

- Which value of total magnetic moment does entry 7 give?
  0.00 μB per formula unit